The following is a DFT calculation (PBE-GGA) of Y8TmAl2 after structural relaxation.

The space group is No. 12. Its distance to the lowest polymorph of the same formula is 0.1107 eV/atom. The density of states at the Fermi level comes out at 16.94 states/eV per cell.

a b c (Å): 5.599 8.514 8.514
angles (deg): 117.32 101.27 101.27
Fractional coordinates of all 11 atoms:
1 Al 0.000 0.692 0.308
2 Y 0.703 0.401 0.401
3 Y 0.106 0.325 0.086
4 Y 0.297 0.599 0.599
5 Y 0.894 0.914 0.675
6 Al 0.000 0.308 0.692
7 Y 0.106 0.086 0.325
8 Y 0.894 0.675 0.914
9 Y 0.500 0.774 0.226
10 Tm 0.500 0.000 0.000
11 Y 0.500 0.226 0.774